# 1
Entry from the Alexandria database: a geometry-optimized LuInPb2 structure (GGA-PBE).

Cell: 4.1280 4.1280 6.6165 Å, 90.00 90.00 90.00°
With the nearest neighbours (Å) after each atom.
Fractional coordinates of all 4 atoms:
1 Pb 0.0000 0.0000 0.7541  2 Pb 3.25-3.36, 4 Lu 3.34, 4 In 3.37
2 Pb 0.0000 0.0000 0.2459  2 Pb 3.25-3.36, 4 Lu 3.34, 4 In 3.37
3 Lu 0.5000 0.5000 0.0000  2 In 3.31, 8 Pb 3.34
4 In 0.5000 0.5000 0.5000  2 Lu 3.31, 8 Pb 3.37

Summary:
* crystal system: tetragonal
* raw total energy: -3.811 eV per atom
* volume: 112.7 Å³/cell
* excess energy over the best structure of this formula in the dataset: 71 meV/atom
* formation energy from the elements: -142 meV/atom
* total magnetic moment: 0.00 μB/cell

# 2
Entry from the Alexandria database: a geometry-optimized Lu2InPb structure (GGA-PBE).

Cell: 3.5664 3.5664 10.1918 Å, 79.92 79.92 60.00°
With the nearest neighbours (Å) after each atom.
Fractional coordinates of all 4 atoms:
1 Pb 0.5000 0.5000 0.5000  6 Lu 3.30, 6 Pb 3.57
2 Lu 0.2528 0.2528 0.2416  3 In 3.17, 3 Pb 3.30
3 Lu 0.7472 0.7472 0.7584  3 In 3.17, 3 Pb 3.30
4 In 0.0000 0.0000 0.0000  6 Lu 3.17

Summary:
* crystal system: trigonal
* raw total energy: -4.159 eV per atom
* volume: 110.0 Å³/cell
* formation energy from the elements: -287 meV/atom
* total magnetic moment: 0.00 μB/cell

# 3
Entry from the Alexandria database: a geometry-optimized LuIn4Pb structure (GGA-PBE).

Cell: 6.1027 6.1027 6.1027 Å, 60.00 60.00 60.00°
With the nearest neighbours (Å) after each atom.
Fractional coordinates of all 6 atoms:
1 Pb 0.2500 0.2500 0.2500  12 In 3.58, 4 Lu 3.74
2 Lu 0.0000 0.0000 0.0000  12 In 3.58, 4 Pb 3.74
3 In 0.6252 0.6252 0.1243  6 In 3.05-3.06
4 In 0.6252 0.1243 0.6252  6 In 3.05-3.06
5 In 0.6252 0.6252 0.6252  6 In 3.05-3.06
6 In 0.1243 0.6252 0.6252  6 In 3.05-3.06

Summary:
* crystal system: cubic
* raw total energy: -3.215 eV per atom
* volume: 160.7 Å³/cell
* formation energy from the elements: -18 meV/atom
* total magnetic moment: 0.00 μB/cell

# 4
Entry from the Alexandria database: a geometry-optimized LuInPb2 structure (GGA-PBE).

Cell: 3.4507 3.4507 12.1317 Å, 81.82 81.82 60.00°
With the nearest neighbours (Å) after each atom.
Fractional coordinates of all 4 atoms:
1 Pb 0.0877 0.0877 0.7370  1 Lu 3.15, 6 Pb 3.45, 3 In 3.47
2 Pb 0.9123 0.9123 0.2630  1 Lu 3.15, 6 Pb 3.45, 3 In 3.47
3 Lu 0.0000 0.0000 0.0000  2 Pb 3.15, 6 Lu 3.45
4 In 0.5000 0.5000 0.5000  6 In 3.45, 6 Pb 3.47

Summary:
* crystal system: trigonal
* raw total energy: -3.544 eV per atom
* volume: 123.4 Å³/cell
* excess energy over the best structure of this formula in the dataset: 339 meV/atom
* formation energy from the elements: 125 meV/atom
* total magnetic moment: 0.00 μB/cell

# 5
Entry from the Alexandria database: a geometry-optimized Lu2InPb structure (GGA-PBE).

Cell: 4.3613 4.8998 4.8998 Å, 90.00 90.00 90.00°
With the nearest neighbours (Å) after each atom.
Fractional coordinates of all 4 atoms:
1 Pb 0.5000 0.5000 0.5000  8 Lu 3.28, 4 In 3.46
2 Lu 0.0000 0.0000 0.5000  4 In 3.28, 4 Pb 3.28, 4 Lu 3.46
3 Lu 0.0000 0.5000 0.0000  4 Pb 3.28, 4 In 3.28, 4 Lu 3.46
4 In 0.5000 0.0000 0.0000  8 Lu 3.28, 4 Pb 3.46

Summary:
* crystal system: tetragonal
* raw total energy: -4.228 eV per atom
* volume: 104.7 Å³/cell
* formation energy from the elements: -356 meV/atom
* total magnetic moment: 0.00 μB/cell

# 6
Entry from the Alexandria database: a geometry-optimized LuInPb2 structure (GGA-PBE).

Cell: 4.6802 4.8352 4.8352 Å, 90.00 90.00 90.00°
With the nearest neighbours (Å) after each atom.
Fractional coordinates of all 4 atoms:
1 Pb 0.0000 0.0000 0.5000  4 Lu 3.36, 4 In 3.36, 4 Pb 3.42
2 Pb 0.0000 0.5000 0.0000  4 Lu 3.36, 4 In 3.36, 4 Pb 3.42
3 Lu 0.5000 0.5000 0.5000  8 Pb 3.36, 4 In 3.42
4 In 0.5000 0.0000 0.0000  8 Pb 3.36, 4 Lu 3.42

Summary:
* crystal system: tetragonal
* raw total energy: -3.883 eV per atom
* volume: 109.4 Å³/cell
* excess energy over the best structure of this formula in the dataset: 0 meV/atom
* formation energy from the elements: -214 meV/atom
* total magnetic moment: 0.00 μB/cell

# 7
Entry from the Alexandria database: a geometry-optimized LuInPb2 structure (GGA-PBE).

Cell: 5.4594 5.4594 5.4594 Å, 60.00 60.00 60.00°
With the nearest neighbours (Å) after each atom.
Fractional coordinates of all 4 atoms:
1 Pb 0.2500 0.2500 0.2500  4 In 3.34, 4 Lu 3.34
2 Pb 0.7500 0.7500 0.7500  4 In 3.34, 4 Lu 3.34
3 Lu 0.0000 0.0000 0.0000  8 Pb 3.34
4 In 0.5000 0.5000 0.5000  8 Pb 3.34

Summary:
* crystal system: cubic
* raw total energy: -3.714 eV per atom
* volume: 115.1 Å³/cell
* excess energy over the best structure of this formula in the dataset: 169 meV/atom
* formation energy from the elements: -45 meV/atom
* total magnetic moment: 0.00 μB/cell

# 8
Entry from the Alexandria database: a geometry-optimized PmLuInPb structure (GGA-PBE).

Cell: 5.4132 5.4132 5.4132 Å, 60.00 60.00 60.00°
With the nearest neighbours (Å) after each atom.
Fractional coordinates of all 4 atoms:
1 Pb 0.7500 0.7500 0.7500  4 Pm 3.31, 4 Lu 3.31
2 Lu 0.5000 0.5000 0.5000  4 Pb 3.31, 4 In 3.31
3 In 0.2500 0.2500 0.2500  4 Lu 3.31, 4 Pm 3.31
4 Pm 0.0000 0.0000 0.0000  4 In 3.31, 4 Pb 3.31

Summary:
* crystal system: cubic
* raw total energy: -4.307 eV per atom
* volume: 112.2 Å³/cell
* formation energy from the elements: -378 meV/atom
* total magnetic moment: 0.00 μB/cell

# 9
Entry from the Alexandria database: a geometry-optimized PrLuInPb structure (GGA-PBE).

Cell: 5.4525 5.4525 5.4525 Å, 60.00 60.00 60.00°
With the nearest neighbours (Å) after each atom.
Fractional coordinates of all 4 atoms:
1 Pb 0.7500 0.7500 0.7500  4 Lu 3.34, 4 Pr 3.34
2 Pr 0.0000 0.0000 0.0000  4 In 3.34, 4 Pb 3.34
3 Lu 0.5000 0.5000 0.5000  4 Pb 3.34, 4 In 3.34
4 In 0.2500 0.2500 0.2500  4 Pr 3.34, 4 Lu 3.34

Summary:
* crystal system: cubic
* raw total energy: -4.315 eV per atom
* volume: 114.6 Å³/cell
* formation energy from the elements: -378 meV/atom
* total magnetic moment: 0.00 μB/cell

# 10
Entry from the Alexandria database: a geometry-optimized LuScInPb structure (GGA-PBE).

Cell: 5.2224 5.2224 5.2224 Å, 60.00 60.00 60.00°
With the nearest neighbours (Å) after each atom.
Fractional coordinates of all 4 atoms:
1 Pb 0.2500 0.2500 0.2500  4 Sc 3.20, 4 Lu 3.20
2 Sc 0.0000 0.0000 0.0000  4 In 3.20, 4 Pb 3.20
3 Lu 0.5000 0.5000 0.5000  4 Pb 3.20, 4 In 3.20
4 In 0.7500 0.7500 0.7500  4 Lu 3.20, 4 Sc 3.20

Summary:
* crystal system: cubic
* raw total energy: -4.628 eV per atom
* volume: 100.7 Å³/cell
* formation energy from the elements: -303 meV/atom
* total magnetic moment: 0.00 μB/cell

# 11
Entry from the Alexandria database: a geometry-optimized SmLuInPb structure (GGA-PBE).

Cell: 5.4010 5.4010 5.4010 Å, 60.00 60.00 60.00°
With the nearest neighbours (Å) after each atom.
Fractional coordinates of all 4 atoms:
1 Pb 0.7500 0.7500 0.7500  4 Sm 3.31, 4 Lu 3.31
2 Lu 0.0000 0.0000 0.0000  4 In 3.31, 4 Pb 3.31
3 Sm 0.5000 0.5000 0.5000  4 Pb 3.31, 4 In 3.31
4 In 0.2500 0.2500 0.2500  4 Sm 3.31, 4 Lu 3.31

Summary:
* crystal system: cubic
* raw total energy: -4.295 eV per atom
* volume: 111.4 Å³/cell
* formation energy from the elements: -374 meV/atom
* total magnetic moment: 0.00 μB/cell

# 12
Entry from the Alexandria database: a geometry-optimized SrLuInPb structure (GGA-PBE).

Cell: 5.5403 5.5403 5.5403 Å, 60.00 60.00 60.00°
With the nearest neighbours (Å) after each atom.
Fractional coordinates of all 4 atoms:
1 Pb 0.0000 0.0000 0.0000  4 Lu 3.39, 4 Sr 3.39
2 Sr 0.7500 0.7500 0.7500  4 In 3.39, 4 Pb 3.39
3 Lu 0.2500 0.2500 0.2500  4 In 3.39, 4 Pb 3.39
4 In 0.5000 0.5000 0.5000  4 Lu 3.39, 4 Sr 3.39

Summary:
* crystal system: cubic
* raw total energy: -3.499 eV per atom
* volume: 120.2 Å³/cell
* formation energy from the elements: -337 meV/atom
* total magnetic moment: 0.00 μB/cell